# DyAlNO

Crystalline DyAlNO at its relaxed geometry (PBE, OQMD via LeMat-Bulk).

Results
Its crystal system is tetragonal. The energy above the most stable polymorph in this dataset comes out at 0.442 eV per formula unit. The total magnetization is 0.770 μB/f.u. The calculation puts the uncorrected energy at -7.243 eV/atom.

Lattice parameters (Å, degrees): 3.7820 3.7820 8.3977 90.00 90.00 90.00
Closest atoms and distances in Å follow each position.
Space group P4/nmm (No. 129, origin choice 2)
One atom of each set of equivalent atoms:
Dy1 0.2500 0.2500 0.1360 [2 per cell]  4 O 2.21
Al1 0.2500 0.7500 0.5000 [2 per cell]  4 N 1.96
N1 0.2500 0.2500 0.4366 [2 per cell]  4 Al 1.96
O1 0.2500 0.7500 0.0000 [2 per cell]  4 Dy 2.21